An optimized crystal structure of CdSnOs, computed with GGA-PBE.

a b c (Å): 4.505 4.505 4.505
angles (deg): 60.00 60.00 60.00
Fractional positions:
Cd 0.000 0.000 0.000
Sn 0.500 0.500 0.500
Os 0.250 0.250 0.250

Summary:
V   21.553 Å³/atom
Calculated total energy   -4.9479 eV per atom
Mass density   10.82 g/cm³
M_tot   0.00 μB/cell
Space group   F-43m